# CePaTe2C | the Alexandria database | GGA-PBE | optimized geometry
data_CePaTe2C
_space_group_name_H-M_alt 'P 4/n m m'
_space_group_IT_number 129
_cell_length_a 4.187
_cell_length_b 4.187
_cell_length_c 16.158
_cell_angle_alpha 90.00
_cell_angle_beta 90.00
_cell_angle_gamma 90.00
loop_
_space_group_symop_operation_xyz
'x,y,z'
'-x,-y,-z'
'-y+1/2,x,z'
'y+1/2,-x,-z'
'-x+1/2,-y+1/2,z'
'x+1/2,y+1/2,-z'
'y,-x+1/2,z'
'-y,x+1/2,-z'
'x+1/2,-y,-z'
'-x+1/2,y,z'
'-y,-x,-z'
'y,x,z'
'-x,y+1/2,-z'
'x,-y+1/2,z'
'y+1/2,x+1/2,-z'
'-y+1/2,-x+1/2,z'
loop_
_atom_site_label
_atom_site_fract_x
_atom_site_fract_y
_atom_site_fract_z
Ce1 0.250 0.250 0.137
Pa1 0.250 0.250 0.566
Te1 0.250 0.250 0.322
Te2 0.250 0.250 0.920
C1 0.250 0.750 0.500
# mass density	7.49	Mg/m³
# raw formation energy	-0.878	eV per atom